1.
Density functional theory data (GGA-PBE) for CsNaLa3 after structural relaxation.

```
5
Lattice="6.1897 0.0000 0.0000 0.0000 6.1897 0.0000 0.0000 0.0000 6.1897" Properties=species:S:1:pos:R:3 pbc="T T T"
La 0.0000 0.0000 3.0948
La 0.0000 3.0948 0.0000
La 3.0948 0.0000 0.0000
Na 0.0000 0.0000 0.0000
Cs 3.0948 3.0948 3.0948
```

Summary:
Energy above the most stable polymorph in this dataset ... 0.0 meV/atom

---

2.
Density functional theory data (GGA-PBE) for ZrAlHg2 after structural relaxation.

```
4
Lattice="-2.1731 -1.7627 -1.4766 0.3695 -2.8922 2.9088 -4.6896 2.8820 3.4613" Properties=species:S:1:pos:R:3 pbc="T T T"
Hg -2.1103 -1.5848 1.6081
Al -4.3618 -0.2011 3.2698
Hg -4.6221 2.8405 3.4114
Zr -2.4334 1.4954 1.7960
```

---

3.
Density functional theory data (GGA-PBE) for Al2Co2Re after structural relaxation.

```
10
Lattice="-1.7185 4.5231 -4.8672 -4.0965 -4.6794 -2.9022 -2.0416 0.8502 1.5110" Properties=species:S:1:pos:R:3 pbc="T T T"
Al -2.2833 1.1262 -1.3449
Re -2.9075 -0.0782 -3.8847
Co -1.5957 2.2417 -3.4175
Al -5.5733 -0.4324 -4.9135
Co -4.2194 -2.3981 -4.3519
Co -1.7471 -1.1744 -1.6999
Re 0.0000 0.0000 0.0000
Al -4.0551 -1.9411 -2.0130
Al -3.8016 2.6350 -4.2454
Co -4.0679 1.0180 -6.0694
```

Summary:
Energy above the most stable polymorph in this dataset ... 64.7 meV/atom

---

no.,energy of formation from the pure elements (eV/f.u.)
1,3.94
2,-0.10
3,-0.61